Record 1
A plane-wave DFT calculation with PBE-GGA was carried out for an optimized crystal structure of SrCd2Tc.

Cell: 6.2063 6.2063 6.2063 Å, 147.80 130.29 60.47°
With the nearest neighbours (Å) after each atom.
Fractional coordinates of all 4 atoms:
1 Cd 0.0387 0.0387 0.0000  2 Tc 2.84
2 Cd 0.4613 0.4613 0.0000  2 Tc 2.84
3 Sr 0.7500 0.2500 0.5000  4 Tc 3.13, 2 Sr 3.44, 4 Cd 3.46
4 Tc 0.2500 0.7500 0.5000  4 Cd 2.84, 4 Sr 3.13

Output
Distance to the lowest polymorph of the same formula   77.1 meV/atom
M_tot   0.336 μB/atom
ΔE_f   415 meV per atom
Total DFT energy (no corrections)   -3.05 eV/atom



Record 2
A plane-wave DFT calculation with PBE-GGA was carried out for an optimized crystal structure of ZnCo2Tc.

Cell: 4.5924 4.5924 4.5924 Å, 134.29 134.29 66.64°
With the nearest neighbours (Å) after each atom.
Fractional coordinates of all 4 atoms:
1 Co 0.0000 0.0000 0.0000  4 Tc 2.52, 4 Co 2.62, 4 Zn 2.62
2 Co 0.2500 0.7500 0.5000  4 Zn 2.52, 4 Co 2.62, 4 Tc 2.62
3 Tc 0.5000 0.5000 0.0000  8 Co 2.52-2.62, 4 Zn 2.62
4 Zn 0.7500 0.2500 0.5000  8 Co 2.52-2.62, 4 Tc 2.62

Output
M_tot   0.171 μB/atom
ΔE_f   148 meV per atom
Total DFT energy (no corrections)   -6.32 eV/atom